## MgCo2Ru (PBE)

Data for an optimized crystal structure of MgCo2Ru.

The structure in extended XYZ format:
```
4
Lattice="1.346 0.777 8.482 -1.346 0.777 8.482 0.000 -1.554 8.482" Properties=species:S:1:pos:R:3 pbc="T T T"
Mg 0.000 0.000 0.000
Co 0.000 0.000 12.588
Co 0.000 0.000 19.175
Ru 0.000 0.000 6.147
```

The calculation puts the formation energy at 229.5 meV per atom. The value obtained for the total energy is -6.0411 eV/atom.

---

## PrPuAs (PBE)

Data for an optimized crystal structure of PrPuAs.

The structure in extended XYZ format:
```
6
Lattice="4.686 -2.772 0.000 4.686 2.772 0.000 -1.506 0.000 5.860" Properties=species:S:1:pos:R:3 pbc="T T T"
Pr 0.863 0.000 1.662
Pr 7.003 0.000 4.198
Pu 3.909 0.000 1.302
Pu 3.958 0.000 4.558
As 0.772 0.000 4.641
As 7.094 0.000 1.219
```

The calculation puts the formation energy at -609.6 meV per atom. The value obtained for the total energy is -8.5300 eV/atom.